(1)
Material: ZrRh
Method: DFT, PBE
State: optimized geometry

## Properties
As for the calculated formation energy: -156 kJ/mol of formula units. The value obtained for the electronic total energy is -8.756 eV per atom. For the volume, the calculation gives 18.42 A^3/atom.

extended XYZ file:
```
6
Lattice="-3.221 0.767 0.545 -0.439 1.122 -4.177 -0.152 -8.056 0.114" Properties=species:S:1:pos:R:3 pbc="T T T"
Zr -1.283 -4.604 -1.102
Zr -2.529 -1.563 -2.416
Zr -1.610 0.384 0.272
Rh -0.570 -2.046 -0.490
Rh -3.242 -4.121 -3.028
Rh -0.220 0.561 -2.088
```

***

(2)
Material: LiLaScS3
Method: DFT, PBE
State: optimized geometry

## Properties
The value obtained for the electronic total energy is -6.097 eV per atom. Its raw formation energy is -1.84 eV per atom. For the volume, the calculation gives 20.52 A^3/atom.

extended XYZ file:
```
12
Lattice="3.836 0.000 0.000 0.000 7.866 -0.062 0.000 -2.139 8.175" Properties=species:S:1:pos:R:3 pbc="T T T"
Li 0.959 -0.535 4.821
Li 2.877 6.262 3.291
La 0.959 1.066 1.885
La 2.877 4.661 6.227
Sc 0.959 4.912 1.218
Sc 2.877 0.815 6.895
S 2.877 6.755 1.019
S 0.959 -1.028 7.093
S 0.959 5.056 3.922
S 2.877 0.672 4.191
S 2.877 3.157 1.329
S 0.959 2.570 6.783
```

***

> Number 2 is which compound?

LiLaScS3

***

> Which of these has the lowest electronic total energy?

ZrRh

***

> Which of these has the highest electronic total energy?

LiLaScS3

***

> The lowest electronic total energy belongs to which entry?

ZrRh